(1)
Computed, not measured: MgReAg2 after structural relaxation at the PBE-GGA level of DFT.

Output
Energy of formation in eV per atom: 0.438
Total magnetization in μB/f.u.: 0.30
Uncorrected energy in eV per atom: -4.50

a = 9.793 Å, b = 2.721 Å, c = 5.151 Å
α = 90.00°, β = 98.08°, γ = 90.00°
Space group C2/m (No. 12)
Inequivalent atoms, fractional coordinates:
Mg: 0.000 0.000 0.000 [2 per cell]
Re: 0.000 0.500 0.500 [2 per cell]
Ag: 0.247 0.000 0.744 [4 per cell]

=====

(2)
Computed, not measured: MgReAg3 after structural relaxation at the PBE-GGA level of DFT.

Output
Energy of formation in eV per atom: 1.414
Total magnetization in μB/f.u.: 2.20
Uncorrected energy in eV per atom: -3.11

a = 5.091 Å, b = 5.091 Å, c = 5.091 Å
α = 90.00°, β = 90.00°, γ = 90.00°
Space group Pm-3m (No. 221)
Inequivalent atoms, fractional coordinates:
Mg: 0.000 0.000 0.000 [1 per cell]
Re: 0.500 0.500 0.500 [1 per cell]
Ag: 0.000 0.500 0.500 [3 per cell]

=====

(3)
Computed, not measured: Mg2ReAg after structural relaxation at the PBE-GGA level of DFT.

Output
Energy of formation in eV per atom: 0.359
Total magnetization in μB/f.u.: 0.00
Uncorrected energy in eV per atom: -4.26

a = 2.777 Å, b = 4.457 Å, c = 5.595 Å
α = 90.00°, β = 90.00°, γ = 90.00°
Space group Pmm2 (No. 25)
Inequivalent atoms, fractional coordinates:
Mg: 0.000 0.000 0.000 [1 per cell]
Mg: 0.500 0.500 0.292 [1 per cell]
Re: 0.000 0.000 0.500 [1 per cell]
Ag: 0.500 0.500 0.770 [1 per cell]

=====

(4)
Computed, not measured: MgReAg2 after structural relaxation at the PBE-GGA level of DFT.

Output
Energy of formation in eV per atom: 0.459
Total magnetization in μB/f.u.: 0.06
Uncorrected energy in eV per atom: -4.48

a = 2.714 Å, b = 4.542 Å, c = 5.620 Å
α = 90.00°, β = 103.63°, γ = 90.00°
Space group P2/m (No. 10)
Inequivalent atoms, fractional coordinates:
Mg: 0.000 0.000 0.000 [1 per cell]
Re: 0.500 0.000 0.500 [1 per cell]
Ag: 0.191 0.500 0.748 [2 per cell]

=====

(5)
Computed, not measured: Mg2ReAg after structural relaxation at the PBE-GGA level of DFT.

Output
Energy of formation in eV per atom: 0.482
Total magnetization in μB/f.u.: 0.00
Uncorrected energy in eV per atom: -4.14

a = 3.958 Å, b = 3.958 Å, c = 8.741 Å
α = 90.00°, β = 90.00°, γ = 90.00°
Space group I-4m2 (No. 119)
Inequivalent atoms, fractional coordinates:
Mg: 0.000 0.000 0.000 [2 per cell]
Mg: 0.000 0.500 0.250 [2 per cell]
Re: 0.000 0.500 0.750 [2 per cell]
Ag: 0.000 0.000 0.500 [2 per cell]

=====

(6)
Computed, not measured: MgReAg2 after structural relaxation at the PBE-GGA level of DFT.

Output
Energy of formation in eV per atom: 0.421
Total magnetization in μB/f.u.: 0.00
Uncorrected energy in eV per atom: -4.52

a = 2.723 Å, b = 4.753 Å, c = 5.214 Å
α = 90.00°, β = 90.00°, γ = 90.00°
Space group Pmm2 (No. 25)
Inequivalent atoms, fractional coordinates:
Mg: 0.000 0.000 0.000 [1 per cell]
Re: 0.500 0.500 0.813 [1 per cell]
Ag: 0.000 0.500 0.313 [1 per cell]
Ag: 0.500 0.000 0.515 [1 per cell]

=====

(7)
Computed, not measured: Mg2ReAg after structural relaxation at the PBE-GGA level of DFT.

Output
Energy of formation in eV per atom: 0.130
Total magnetization in μB/f.u.: 0.00
Uncorrected energy in eV per atom: -4.49

a = 3.353 Å, b = 4.452 Å, c = 9.082 Å
α = 90.00°, β = 90.00°, γ = 90.00°
Space group Cmmm (No. 65)
Inequivalent atoms, fractional coordinates:
Mg: 0.000 0.000 0.244 [4 per cell]
Re: 0.000 0.500 0.000 [2 per cell]
Ag: 0.000 0.500 0.500 [2 per cell]

=====

(8)
Computed, not measured: MgReAg after structural relaxation at the PBE-GGA level of DFT.

Output
Energy of formation in eV per atom: 0.594
Total magnetization in μB/f.u.: 0.69
Uncorrected energy in eV per atom: -5.04

a = 2.676 Å, b = 4.265 Å, c = 8.855 Å
α = 90.00°, β = 90.00°, γ = 90.00°
Space group Imm2 (No. 44)
Inequivalent atoms, fractional coordinates:
Mg: 0.000 0.000 0.000 [2 per cell]
Re: 0.000 0.000 0.334 [2 per cell]
Ag: 0.000 0.000 0.666 [2 per cell]

=====

(9)
Computed, not measured: Mg2ReAg after structural relaxation at the PBE-GGA level of DFT.

Output
Energy of formation in eV per atom: 0.161
Total magnetization in μB/f.u.: 0.00
Uncorrected energy in eV per atom: -4.46

a = 2.780 Å, b = 2.780 Å, c = 8.795 Å
α = 90.00°, β = 90.00°, γ = 90.00°
Space group P4/mmm (No. 123)
Inequivalent atoms, fractional coordinates:
Mg: 0.000 0.000 0.246 [2 per cell]
Re: 0.500 0.500 0.000 [1 per cell]
Ag: 0.500 0.500 0.500 [1 per cell]

=====

(10)
Computed, not measured: Mg2ReAg after structural relaxation at the PBE-GGA level of DFT.

Output
Energy of formation in eV per atom: 0.396
Total magnetization in μB/f.u.: 0.00
Uncorrected energy in eV per atom: -4.23

a = 2.922 Å, b = 4.996 Å, c = 9.363 Å
α = 90.00°, β = 90.00°, γ = 90.00°
Space group Immm (No. 71)
Inequivalent atoms, fractional coordinates:
Mg: 0.000 0.000 0.244 [4 per cell]
Re: 0.000 0.500 0.000 [2 per cell]
Ag: 0.000 0.500 0.500 [2 per cell]

=====

(11)
Computed, not measured: MgReAg2 after structural relaxation at the PBE-GGA level of DFT.

Output
Energy of formation in eV per atom: 0.290
Total magnetization in μB/f.u.: 0.00
Uncorrected energy in eV per atom: -4.65

a = 2.746 Å, b = 2.746 Å, c = 8.930 Å
α = 90.00°, β = 90.00°, γ = 90.00°
Space group P4mm (No. 99)
Inequivalent atoms, fractional coordinates:
Mg: 0.000 0.000 0.000 [1 per cell]
Re: 0.500 0.500 0.240 [1 per cell]
Ag: 0.000 0.000 0.489 [1 per cell]
Ag: 0.500 0.500 0.748 [1 per cell]

=====

(12)
Computed, not measured: Mg2ReAg after structural relaxation at the PBE-GGA level of DFT.

Output
Energy of formation in eV per atom: 0.820
Total magnetization in μB/f.u.: 1.62
Uncorrected energy in eV per atom: -3.80

a = 7.269 Å, b = 7.269 Å, c = 5.672 Å
α = 90.00°, β = 90.00°, γ = 90.00°
Space group I-42d (No. 122)
Inequivalent atoms, fractional coordinates:
Mg: 0.239 0.250 0.125 [8 per cell]
Re: 0.000 0.000 0.500 [4 per cell]
Ag: 0.000 0.000 0.000 [4 per cell]